1.
Density functional theory data (SCAN) for a crystal of KHCO2 relaxed with PBEsol.

Cell and atoms, written as POSCAR:
```
KHCO2
1.0
4.467 0.025 0.000
-0.680 4.415 0.000
0.000 0.000 6.910
H K C O
2 2 2 4
direct
0.563 0.437 0.250
0.437 0.563 0.750
0.000 0.000 0.000
0.000 0.000 0.500
0.397 0.603 0.250
0.603 0.397 0.750
0.118 0.495 0.250
0.882 0.505 0.750
0.505 0.882 0.250
0.495 0.118 0.750
```

Calculated values
symmetry = No. 63
total energy = -82.6 eV for the cell shown
total magnetization = 0.00 μB per formula unit

---

2.
Density functional theory data (SCAN) for a crystal of KHCO3 relaxed with PBEsol.

Cell and atoms, written as POSCAR:
```
KHCO3
1.0
3.673 0.115 -0.068
-0.239 5.604 -0.012
-1.681 -2.562 7.314
H K C O
2 2 2 6
direct
0.472 0.301 0.979
0.528 0.699 0.021
0.713 0.827 0.669
0.287 0.173 0.331
0.152 0.379 0.764
0.848 0.621 0.236
0.285 0.211 0.846
0.715 0.789 0.154
0.282 0.612 0.842
0.718 0.388 0.158
0.906 0.297 0.612
0.094 0.703 0.388
```

Calculated values
symmetry = No. 2
total energy = -100.8 eV for the cell shown
total magnetization = 0.00 μB per formula unit

---

3.
Density functional theory data (SCAN) for a crystal of KTbH2C2SO9 relaxed with PBEsol.

Cell and atoms, written as POSCAR:
```
KTbH2C2SO9
1.0
-3.380 5.312 1.777
-6.495 -2.513 -4.843
-4.665 -7.399 10.095
K Tb H C S O
4 4 8 8 4 36
direct
0.732 0.646 0.698
0.768 0.146 0.802
0.268 0.354 0.302
0.232 0.854 0.198
0.254 0.252 0.584
0.246 0.752 0.916
0.746 0.748 0.416
0.754 0.248 0.084
0.142 0.038 0.412
0.358 0.538 0.088
0.858 0.962 0.588
0.642 0.462 0.912
0.385 0.041 0.415
0.115 0.541 0.085
0.615 0.959 0.585
0.885 0.459 0.915
0.365 0.457 0.780
0.135 0.957 0.720
0.635 0.543 0.220
0.865 0.043 0.280
0.367 0.962 0.731
0.133 0.462 0.769
0.633 0.038 0.269
0.867 0.538 0.231
0.735 0.337 0.473
0.765 0.837 0.027
0.265 0.663 0.527
0.235 0.163 0.973
0.457 0.367 0.723
0.043 0.867 0.777
0.543 0.633 0.277
0.957 0.133 0.223
0.050 0.047 0.653
0.450 0.547 0.847
0.950 0.953 0.347
0.550 0.453 0.153
0.454 0.047 0.668
0.046 0.547 0.832
0.546 0.953 0.332
0.954 0.453 0.168
0.044 0.386 0.697
0.456 0.886 0.803
0.956 0.614 0.303
0.544 0.114 0.197
0.940 0.266 0.495
0.560 0.766 0.005
0.060 0.734 0.505
0.440 0.234 0.995
0.744 0.510 0.496
0.756 0.010 0.004
0.256 0.490 0.504
0.244 0.990 0.996
0.589 0.262 0.539
0.911 0.762 0.961
0.411 0.738 0.461
0.089 0.238 0.039
0.670 0.314 0.366
0.830 0.814 0.134
0.330 0.686 0.634
0.170 0.186 0.866
0.266 0.096 0.441
0.234 0.596 0.059
0.734 0.904 0.559
0.766 0.404 0.941
```

Calculated values
symmetry = No. 14
total energy = -715.1 eV for the cell shown
total magnetization = 0.00 μB per formula unit

---

Q: Which value of total magnetization does entry 3 give?
A: 0.00 μB per formula unit